No. 1
The following is a GGA-PBE calculation of a relaxed structure of TaAlN2, from the Alexandria database.

## Properties
For the total energy, the calculation gives -35.2 eV/f.u.

a b c (Å): 3.0877 3.0877 18.5049
angles (deg): 90.00 90.00 120.00
Space group R-3m (No. 166, hexagonal axes)
Asymmetric unit:
Ta1 0.0000 0.0000 0.0000 [3 per cell]
Al1 0.0000 0.0000 0.5000 [3 per cell]
N1 0.0000 0.0000 0.3947 [6 per cell]


No. 2
The following is a GGA-PBE calculation of a relaxed structure of Ta4AlN, from the Alexandria database.

## Properties
For the total energy, the calculation gives -59.9 eV/f.u.

a b c (Å): 7.393 4.834 6.247
angles (deg): 90.00 109.93 90.00
Space group P2_1/c (No. 14)
Asymmetric unit:
Ta1 0.131 0.243 0.300 [4 per cell]
Ta2 0.234 0.713 0.102 [4 per cell]
Al1 0.500 0.000 0.000 [2 per cell]
N1 0.000 0.000 0.000 [2 per cell]


Number 1: E_form (uncorrected) -0.7495 eV per atom, total magnetic moment 0.0000 μB/atom. Number 2: E_form (uncorrected) -0.0680 eV per atom, total magnetic moment 0.0000 μB/atom.